1.
# Sr2CaW, optimized geometry, DFT PBE
# Calculated total energy ... -3.50 eV/atom
# DFT formation energy ... 1.084 eV per atom
# E above lowest polymorph ... 0.177 eV/atom
# Total magnetic moment ... 2.83 μB/f.u.
data_Sr2CaW
_space_group_name_H-M_alt 'P 4/m m m'
_space_group_IT_number 123
_space_group_name_Hall '-P 4 2'
_cell_length_a 5.334
_cell_length_b 5.334
_cell_length_c 4.842
_cell_angle_alpha 90.00
_cell_angle_beta 90.00
_cell_angle_gamma 90.00
loop_
_atom_site_label
_atom_site_fract_x
_atom_site_fract_y
_atom_site_fract_z
Sr1 0.000 0.500 0.000
Ca1 0.000 0.000 0.500
W1 0.500 0.500 0.500

=====

2.
# LaAs2I, optimized geometry, DFT PBE
# Calculated total energy ... -4.07 eV/atom
# E above lowest polymorph ... 0.469 eV/atom
# Total magnetic moment ... 0.00 μB/f.u.
data_LaAs2I
_space_group_name_H-M_alt 'F m -3 m'
_space_group_IT_number 225
_space_group_name_Hall '-F 4 2 3'
_cell_length_a 7.519
_cell_length_b 7.519
_cell_length_c 7.519
_cell_angle_alpha 90.00
_cell_angle_beta 90.00
_cell_angle_gamma 90.00
loop_
_atom_site_label
_atom_site_fract_x
_atom_site_fract_y
_atom_site_fract_z
La1 0.000 0.000 0.000
As1 0.250 0.250 0.250
I1 0.000 0.000 0.500

=====

3.
# Ho13Cd2, optimized geometry, DFT PBE
# Calculated total energy ... -4.13 eV/atom
# DFT formation energy ... -0.039 eV per atom
# Total magnetic moment ... 0.00 μB/f.u.
data_Ho13Cd2
_space_group_name_H-M_alt 'P -1'
_space_group_IT_number 2
_cell_length_a 6.629
_cell_length_b 8.519
_cell_length_c 8.829
_cell_angle_alpha 66.41
_cell_angle_beta 79.19
_cell_angle_gamma 82.09
loop_
_space_group_symop_operation_xyz
'x,y,z'
'-x,-y,-z'
loop_
_atom_site_label
_atom_site_fract_x
_atom_site_fract_y
_atom_site_fract_z
Ho1 0.000 0.000 0.000
Ho2 0.123 0.479 0.739
Ho3 0.201 0.231 0.152
Ho4 0.250 0.941 0.578
Ho5 0.304 0.656 0.973
Ho6 0.368 0.412 0.390
Ho7 0.494 0.142 0.797
Cd1 0.060 0.766 0.380